Material: Tb3Dy2Se6
Method: DFT, PBE
State: relaxed

V (Å³ per atom): 26.0
Crystal system: monoclinic
Uncorrected energy (eV per atom): -5.870
Theoretical density (g cm⁻³): 7.42
Formation energy without anion corrections (eV per atom): -1.8697
Symmetry: C2/m (12)

```
Tb3Dy2Se6
1.0
3.533 -6.092 0.000
3.533 6.092 0.000
-2.349 0.000 6.631
Tb Dy Se
3 2 6
Direct
0.000 0.000 0.000
0.335 0.665 0.000
0.665 0.335 0.000
0.165 0.835 0.500
0.835 0.165 0.500
0.089 0.418 0.254
0.253 0.253 0.743
0.418 0.089 0.254
0.582 0.911 0.746
0.747 0.747 0.257
0.911 0.582 0.746
```